# 1
Compound: AcMgPt2O8
Source: Alexandria
Functional: GGA-PBE
Structure: relaxed

The formation energy from raw total energies comes out at -104.1 kJ per mole of atoms. For the volume, the calculation gives 13.0 Å³ per atom.

The space group is P-31m (No. 162) and the conventional cell measures 5.1314, 5.1314 and 6.8371 Å, with angles of 90.00, 90.00 and 120.00 degrees. The distinct sites, in fractional coordinates, are Ac at (0.0000, 0.0000, 0.0000), Mg at (0.0000, 0.0000, 0.5000), Pt at (0.3333, 0.6667, 0.5000), O at (0.0000, 0.3345, 0.6625) and O at (0.3333, 0.6667, 0.0000).

# 2
Compound: Th2CoRu
Source: Alexandria
Functional: GGA-PBE
Structure: relaxed

For the volume, the calculation gives 25.1 Å³ per atom. The calculation puts the total energy at -7.51 eV/atom.

The space group is R-3m (No. 166, hexagonal axes) and the conventional cell measures 3.7083, 3.7083 and 25.3107 Å, with angles of 90.00, 90.00 and 120.00 degrees. The distinct sites, in fractional coordinates, are Th at (0.0000, 0.0000, 0.1002), Co at (0.0000, 0.0000, 0.5000) and Ru at (0.0000, 0.0000, 0.0000).

# 3
Compound: Sr4ZnCd3O8
Source: Alexandria
Functional: GGA-PBE
Structure: relaxed

The formation energy from raw total energies comes out at -179.8 kJ per mole of atoms. For the volume, the calculation gives 15.1 Å³ per atom.

The space group is C2/m (No. 12) and the conventional cell measures 11.980, 6.962 and 6.821 Å, with angles of 90.00, 122.07 and 90.00 degrees. The distinct sites, in fractional coordinates, are Sr at (0.000, 0.000, 0.000), Sr at (0.000, 0.500, 0.000), Sr at (0.250, 0.250, 0.500), Zn at (0.000, 0.000, 0.500), Cd at (0.000, 0.500, 0.500), Cd at (0.250, 0.250, 0.000), O at (0.000, 0.239, 0.272), O at (0.248, 0.500, 0.237) and O at (0.250, 0.000, 0.238).

# 4
Compound: KPPdS2
Source: Alexandria
Functional: GGA-PBE
Structure: relaxed

The formation energy from raw total energies comes out at 166.9 kJ per mole of atoms. The calculation puts the distance to the lowest polymorph of the same formula at 8.371 eV per formula unit. For the volume, the calculation gives 37.9 Å³ per atom.

The space group is P4/mmm (No. 123) and the conventional cell measures 5.652, 5.652 and 5.932 Å, with angles of 90.00, 90.00 and 90.00 degrees. The distinct sites, in fractional coordinates, are K at (0.000, 0.000, 0.000), P at (0.000, 0.000, 0.500), Pd at (0.500, 0.500, 0.500) and S at (0.000, 0.500, 0.000).

# 5
Compound: ScFe2Ni
Source: Alexandria
Functional: GGA-PBE
Structure: relaxed

For the volume, the calculation gives 14.0 Å³ per atom. The calculation puts the total energy at -7.03 eV/atom.

The space group is R3m (No. 160, hexagonal axes) and the conventional cell measures 2.8415, 2.8415 and 24.0083 Å, with angles of 90.00, 90.00 and 120.00 degrees. The distinct sites, in fractional coordinates, are Sc at (0.0000, 0.0000, 0.0000), Fe at (0.0000, 0.0000, 0.2427), Fe at (0.0000, 0.0000, 0.5012) and Ni at (0.0000, 0.0000, 0.7555).

# 6
Compound: Ba3Cl2
Source: Alexandria
Functional: GGA-PBE
Structure: relaxed

The formation energy from raw total energies comes out at -131.6 kJ per mole of atoms. The calculation puts the distance to the lowest polymorph of the same formula at 0.229 eV per formula unit. For the volume, the calculation gives 42.3 Å³ per atom.

The space group is Fdd2 (No. 43) and the conventional cell measures 13.258, 13.545 and 9.419 Å, with angles of 90.00, 90.00 and 90.00 degrees. The distinct sites, in fractional coordinates, are Ba at (0.000, 0.000, 0.000), Ba at (0.055, 0.315, 0.859) and Cl at (0.047, 0.377, 0.194).

# 7
Compound: CeYSbP
Source: Alexandria
Functional: GGA-PBE
Structure: relaxed

The formation energy from raw total energies comes out at -126.0 kJ per mole of atoms. For the volume, the calculation gives 27.0 Å³ per atom.

The space group is R3m (No. 160, hexagonal axes) and the conventional cell measures 4.2147, 4.2147 and 21.0612 Å, with angles of 90.00, 90.00 and 120.00 degrees. The distinct sites, in fractional coordinates, are Ce at (0.0000, 0.0000, 0.0000), Y at (0.0000, 0.0000, 0.4830), Sb at (0.0000, 0.0000, 0.2401) and P at (0.0000, 0.0000, 0.7426).

# 8
Compound: Zr2CuPb
Source: Alexandria
Functional: GGA-PBE
Structure: relaxed

For the volume, the calculation gives 20.7 Å³ per atom. The calculation puts the total energy at -6.27 eV/atom.

The space group is P4/mmm (No. 123) and the conventional cell measures 3.658, 3.658 and 6.193 Å, with angles of 90.00, 90.00 and 90.00 degrees. The distinct sites, in fractional coordinates, are Zr at (0.000, 0.000, 0.231), Cu at (0.500, 0.500, 0.000) and Pb at (0.500, 0.500, 0.500).